No. 1
DFT (PBE) results for a relaxed structure of Ge2Ir2Pd.

Cell lengths 7.2686, 7.2686, 2.8773 Å; angles 90.00, 90.00, 90.00 degrees
Fractional coordinates of all 10 atoms:
1 Ge 0.1551 0.3449 0.0000
2 Ge 0.3449 0.8449 0.0000
3 Ge 0.8449 0.6551 0.0000
4 Ge 0.6551 0.1551 0.0000
5 Ir 0.8575 0.3575 0.5000
6 Ir 0.6425 0.8575 0.5000
7 Ir 0.3575 0.1425 0.5000
8 Ir 0.1425 0.6425 0.5000
9 Pd 0.0000 0.0000 0.0000
10 Pd 0.5000 0.5000 0.0000

Computed properties:
Energy of formation from the pure elements: -0.197 eV/atom
Energy: -66.27 eV for the cell shown
DOS(E_F): 0.363 states/eV per atom
Offset from the most stable computed form: 0 meV per atom

=====

No. 2
DFT (PBE) results for a relaxed structure of Ca2Te.

Cell lengths 9.1642, 9.1642, 5.6541 Å; angles 90.00, 90.00, 154.62 degrees
Fractional coordinates of all 6 atoms:
1 Ca 0.5740 0.4260 0.2500
2 Ca 0.2842 0.7158 0.2500
3 Ca 0.4260 0.5740 0.7500
4 Ca 0.7158 0.2842 0.7500
5 Te 0.0754 0.9246 0.7500
6 Te 0.9246 0.0754 0.2500

Computed properties:
Energy: -19.65 eV for the cell shown
DOS(E_F): 0.275 states/eV per atom
ΔE_f (raw): -0.894 eV/atom

=====

No. 3
DFT (PBE) results for a relaxed structure of CaPrGdGa.

Cell lengths 5.4537, 5.4537, 5.4537 Å; angles 60.00, 60.00, 60.00 degrees
Site moments in Bohr magnetons follow the coordinates.
Fractional coordinates of all 4 atoms:
1 Pr 0.5000 0.5000 0.5000  0.01
2 Gd 0.0000 0.0000 0.0000  7.13
3 Ca 0.7500 0.7500 0.7500  -0.01
4 Ga 0.2500 0.2500 0.2500  -0.02

Computed properties:
Energy of formation from the pure elements: -0.120 eV/atom
Energy: -24.37 eV for the cell shown
DOS(E_F): 1.028 states/eV per atom

=====

No. 4
DFT (PBE) results for a relaxed structure of NaTi2Te4.

Cell lengths 3.9731, 6.9986, 14.2943 Å; angles 90.00, 90.00, 106.49 degrees
Site moments in Bohr magnetons follow the coordinates.
Fractional coordinates of all 14 atoms:
1 Te 0.7715 0.5431 0.3917  -0.03
2 Te 0.0702 0.1403 0.2500  -0.06
3 Te 0.5000 0.0000 0.5000  -0.03
4 Te 0.2285 0.4569 0.6083  -0.03
5 Te 0.2285 0.4569 0.8917  -0.03
6 Te 0.7715 0.5431 0.1083  -0.03
7 Te 0.5000 0.0000 0.0000  -0.03
8 Te 0.9298 0.8597 0.7500  -0.06
9 Ti 0.1299 0.2598 0.4312  0.37
10 Ti 0.8701 0.7402 0.5688  0.37
11 Ti 0.8701 0.7402 0.9312  0.37
12 Ti 0.1299 0.2598 0.0688  0.37
13 Na 0.3862 0.7724 0.2500  0.00
14 Na 0.6138 0.2276 0.7500  0.00

Computed properties:
Energy: -68.57 eV for the cell shown
DOS(E_F): 0.559 states/eV per atom
ΔE_f (raw): -0.658 eV/atom
Offset from the most stable computed form: 104 meV per atom

=====

No. 5
DFT (PBE) results for a relaxed structure of Na2ZnPtS.

Cell lengths 5.3609, 4.4637, 5.3609 Å; angles 90.00, 90.00, 90.00 degrees
Fractional coordinates of all 5 atoms:
1 Na 0.5000 0.0000 0.0000
2 Na 0.0000 0.0000 0.5000
3 S 0.0000 0.0000 0.0000
4 Zn 0.5000 0.5000 0.5000
5 Pt 0.0000 0.5000 0.0000

Computed properties:
Energy: -15.22 eV for the cell shown
DOS(E_F): 0.034 states/eV per atom
ΔE_f (raw): -0.228 eV/atom

=====

No. 6
DFT (PBE) results for a relaxed structure of Ce3Co5C2.

Cell lengths 5.8593, 7.7020, 7.7020 Å; angles 63.42, 67.64, 67.64 degrees
Site moments in Bohr magnetons follow the coordinates.
Fractional coordinates of all 20 atoms:
1 C 0.6721 0.8988 0.7570  -0.01
2 C 0.3279 0.1012 0.2430  -0.01
3 C 0.1721 0.7570 0.8988  -0.01
4 C 0.8279 0.2430 0.1012  -0.01
5 Co 0.1132 0.5956 0.1780  0.37
6 Co 0.7500 0.5000 0.5000  0.76
7 Co 0.8868 0.4044 0.8220  0.37
8 Co 0.3868 0.8220 0.4044  0.37
9 Co 0.2500 0.5000 0.5000  0.76
10 Co 0.9831 0.2669 0.2669  0.03
11 Co 0.6132 0.1780 0.5956  0.37
12 Co 0.5169 0.7331 0.7331  0.03
13 Co 0.4831 0.2669 0.2669  0.03
14 Co 0.0169 0.7331 0.7331  0.03
15 Ce 0.8643 0.8744 0.3971  -0.18
16 Ce 0.7500 0.0000 0.0000  0.02
17 Ce 0.3643 0.3971 0.8744  -0.18
18 Ce 0.6357 0.6029 0.1256  -0.18
19 Ce 0.2500 0.0000 0.0000  0.02
20 Ce 0.1357 0.1256 0.6029  -0.18

Computed properties:
Energy of formation from the pure elements: -0.039 eV/atom
Energy: -144.34 eV for the cell shown
DOS(E_F): 1.130 states/eV per atom

=====

Please write out number 2 again, unchanged.
DFT (PBE) results for a relaxed structure of Ca2Te.

Cell lengths 9.1642, 9.1642, 5.6541 Å; angles 90.00, 90.00, 154.62 degrees
Fractional coordinates of all 6 atoms:
1 Ca 0.5740 0.4260 0.2500
2 Ca 0.2842 0.7158 0.2500
3 Ca 0.4260 0.5740 0.7500
4 Ca 0.7158 0.2842 0.7500
5 Te 0.0754 0.9246 0.7500
6 Te 0.9246 0.0754 0.2500

Computed properties:
Energy: -19.65 eV for the cell shown
DOS(E_F): 0.275 states/eV per atom
ΔE_f (raw): -0.894 eV/atom

=====

Question: Among the records above, which one has the lowest energy?
Answer: Ce3Co5C2

=====

Question: Which of these has the lowest DOS(E_F)?
Answer: Na2ZnPtS

=====

Question: The highest energy belongs to which entry?
Answer: Na2ZnPtS